{
  "formula": "Mn4ZnF10",
  "functional": "PBE+U",
  "state": "relaxed",
  "magnetic_moment_mub_per_atom": 1.333,
  "dft_energy_ev_per_cell": -88.1,
  "cell": [[1.842, 1.064, 15.061], [-1.842, 1.064, 15.061], [0.000, -2.127, 15.061]],
  "species": ["Mn", "Mn", "Mn", "Mn", "Zn", "F", "F", "F", "F", "F", "F", "F", "F", "F", "F"],
  "fractional_positions": [[0.102, 0.102, 0.102], [0.299, 0.299, 0.299], [0.701, 0.701, 0.701], [0.898, 0.898, 0.898], [0.500, 0.500, 0.500], [0.051, 0.051, 0.051], [0.151, 0.151, 0.151], [0.249, 0.249, 0.249], [0.350, 0.350, 0.350], [0.452, 0.452, 0.452], [0.548, 0.548, 0.548], [0.650, 0.650, 0.650], [0.751, 0.751, 0.751], [0.849, 0.849, 0.849], [0.949, 0.949, 0.949]]
}